Entry 1:
First-principles (PBE) data for an optimized crystal structure of DyHo2ScTl4, as listed in the Alexandria database.

The space group is R-3m (No. 166, hexagonal axes) and the conventional cell measures 5.2906, 5.2906 and 26.0235 Å, with angles of 90.00, 90.00 and 120.00 degrees. Symmetry generates all atoms from Dy at (0.0000, 0.0000, 0.0000), Ho at (0.0000, 0.0000, 0.2487), Sc at (0.0000, 0.0000, 0.5000), Tl at (0.0000, 0.0000, 0.1264) and Tl at (0.0000, 0.0000, 0.3766).

Its crystal system is trigonal. Its formation energy is -0.30 eV/atom. The density of states at the Fermi level comes out at 7.02 states/eV/f.u.

Entry 2:
First-principles (PBE) data for an optimized crystal structure of CdIn2Ni, as listed in the Alexandria database.

The space group is Pm (No. 6) and the conventional cell measures 4.268, 2.985 and 6.988 Å, with angles of 90.00, 107.41 and 90.00 degrees. Symmetry generates all atoms from Cd at (0.000, 0.000, 0.000), In at (0.370, 0.500, 0.735), In at (0.682, 0.000, 0.365) and Ni at (0.171, 0.500, 0.342).

Its crystal system is monoclinic. Its formation energy is -0.01 eV/atom. The density of states at the Fermi level comes out at 2.20 states/eV/f.u.

Entry 3:
First-principles (PBE) data for an optimized crystal structure of TbAl2Tc2B, as listed in the Alexandria database.

The space group is P4/mmm (No. 123) and the conventional cell measures 4.257, 4.257 and 5.482 Å, with angles of 90.00, 90.00 and 90.00 degrees. Symmetry generates all atoms from Tb at (0.000, 0.000, 0.000), Al at (0.500, 0.500, 0.238), Tc at (0.000, 0.500, 0.500) and B at (0.000, 0.000, 0.500).

Its crystal system is tetragonal. Its formation energy is -0.47 eV/atom. The density of states at the Fermi level comes out at 3.41 states/eV/f.u.